LiVO2F2 | Alexandria via LeMat-Bulk | PBE+U | relaxed; total magnetization = 0.000 μB per atom; energy relative to the lowest polymorph listed for this composition = 95 meV per atom; density of states at the Fermi level = 0.000 states/eV/atom
1.0
5.141 0.000 0.000
0.000 7.433 -0.117
0.000 1.526 7.015
Li V O F
4 4 8 8
Cartesian
1.214 2.969 2.274 Li
1.356 6.686 2.216 Li
3.785 2.273 4.682 Li
3.927 5.989 4.623 Li
3.771 1.550 1.456 V
3.941 5.267 1.397 V
1.200 3.692 5.501 V
1.370 7.408 5.442 V
2.335 1.062 2.093 O
4.642 2.029 2.801 O
0.236 4.778 2.035 O
3.070 5.746 2.743 O
2.071 3.213 4.155 O
4.906 4.181 4.863 O
0.500 6.929 4.097 O
2.806 7.897 4.805 O
0.494 2.230 0.380 F
2.077 5.947 0.322 F
3.145 3.497 1.204 F
4.567 7.213 1.145 F
0.574 1.746 5.753 F
1.996 5.462 5.694 F
3.064 3.012 6.576 F
4.648 6.728 6.518 F